Record 1
# SrLaOs2, optimized geometry, DFT GGA-PBEsol
# ΔE to the lowest computed polymorph ... 4.387 kcal/mol of atoms
data_SrLaOs2
_chemical_formula_sum 'Sr3 La3 Os6'
_cell_length_a 3.2784
_cell_length_b 3.2784
_cell_length_c 27.4831
_cell_angle_alpha 90.00
_cell_angle_beta 90.00
_cell_angle_gamma 120.00
_space_group_name_H-M_alt 'R -3 m'
_space_group_IT_number 166
_space_group_name_Hall '-R 3 2"'
loop_
_atom_site_label
_atom_site_type_symbol
_atom_site_fract_x
_atom_site_fract_y
_atom_site_fract_z
Sr1 Sr 0.0000 0.0000 0.0000
La1 La 0.0000 0.0000 0.5000
Os1 Os 0.0000 0.0000 0.2457

***

Record 2
# Sr2LaOs, optimized geometry, DFT GGA-PBEsol
# ΔE to the lowest computed polymorph ... 0.000 kcal/mol of atoms
data_Sr2LaOs
_chemical_formula_sum 'Sr4 La2 Os2'
_cell_length_a 5.072
_cell_length_b 5.079
_cell_length_c 10.298
_cell_angle_alpha 90.00
_cell_angle_beta 90.00
_cell_angle_gamma 90.00
_space_group_name_H-M_alt 'C m m 2'
_space_group_IT_number 35
loop_
_space_group_symop_operation_xyz
'x,y,z'
'-x,-y,z'
'-x,y,z'
'x,-y,z'
'x+1/2,y+1/2,z'
'-x+1/2,-y+1/2,z'
'-x+1/2,y+1/2,z'
'x+1/2,-y+1/2,z'
loop_
_atom_site_label
_atom_site_type_symbol
_atom_site_fract_x
_atom_site_fract_y
_atom_site_fract_z
Sr1 Sr 0.000 0.000 0.000
Sr2 Sr 0.000 0.500 0.346
La1 La 0.000 0.000 0.669
Os1 Os 0.000 0.500 0.812

***

Record 3
# SrLaOs2, optimized geometry, DFT GGA-PBEsol
# ΔE to the lowest computed polymorph ... 1.341 kcal/mol of atoms
data_SrLaOs2
_chemical_formula_sum 'Sr4 La4 Os8'
_cell_length_a 7.003
_cell_length_b 7.003
_cell_length_c 7.003
_cell_angle_alpha 90.00
_cell_angle_beta 90.00
_cell_angle_gamma 90.00
_space_group_name_H-M_alt 'F m -3 m'
_space_group_IT_number 225
_space_group_name_Hall '-F 4 2 3'
loop_
_atom_site_label
_atom_site_type_symbol
_atom_site_fract_x
_atom_site_fract_y
_atom_site_fract_z
Sr1 Sr 0.000 0.000 0.000
La1 La 0.000 0.000 0.500
Os1 Os 0.250 0.250 0.250

***

Record 4
# SrLaOs2, optimized geometry, DFT GGA-PBEsol
# ΔE to the lowest computed polymorph ... 0.000 kcal/mol of atoms
data_SrLaOs2
_chemical_formula_sum 'Sr1 La1 Os2'
_cell_length_a 3.509
_cell_length_b 3.509
_cell_length_c 7.127
_cell_angle_alpha 90.00
_cell_angle_beta 90.00
_cell_angle_gamma 90.00
_space_group_name_H-M_alt 'P 4/m m m'
_space_group_IT_number 123
_space_group_name_Hall '-P 4 2'
loop_
_atom_site_label
_atom_site_type_symbol
_atom_site_fract_x
_atom_site_fract_y
_atom_site_fract_z
Sr1 Sr 0.000 0.000 0.000
La1 La 0.000 0.000 0.500
Os1 Os 0.500 0.500 0.286

***

Record 5
# La2TaOs, optimized geometry, DFT GGA-PBEsol
# ΔE to the lowest computed polymorph ... 0.000 kcal/mol of atoms
data_La2TaOs
_chemical_formula_sum 'La2 Ta1 Os1'
_cell_length_a 3.191
_cell_length_b 4.209
_cell_length_c 6.710
_cell_angle_alpha 90.00
_cell_angle_beta 99.43
_cell_angle_gamma 90.00
_space_group_name_H-M_alt 'P 1 m 1'
_space_group_IT_number 6
loop_
_space_group_symop_operation_xyz
'x,y,z'
'x,-y,z'
loop_
_atom_site_label
_atom_site_type_symbol
_atom_site_fract_x
_atom_site_fract_y
_atom_site_fract_z
La1 La 0.000 0.000 0.000
La2 La 0.359 0.500 0.708
Ta1 Ta 0.849 0.000 0.423
Os1 Os 0.480 0.500 0.276

***

Record 6
# La2TaOs, optimized geometry, DFT GGA-PBEsol
# ΔE to the lowest computed polymorph ... 10.560 kcal/mol of atoms
data_La2TaOs
_chemical_formula_sum 'La8 Ta4 Os4'
_cell_length_a 7.121
_cell_length_b 7.121
_cell_length_c 7.121
_cell_angle_alpha 90.00
_cell_angle_beta 90.00
_cell_angle_gamma 90.00
_space_group_name_H-M_alt 'F m -3 m'
_space_group_IT_number 225
_space_group_name_Hall '-F 4 2 3'
loop_
_atom_site_label
_atom_site_type_symbol
_atom_site_fract_x
_atom_site_fract_y
_atom_site_fract_z
La1 La 0.250 0.250 0.250
Ta1 Ta 0.000 0.000 0.000
Os1 Os 0.000 0.000 0.500